No. 1
Material: Pr4Nd4Dy
Method: DFT, GGA-PBE
State: relaxed

a b c (Å): 8.231 8.231 8.224
angles (deg): 107.58 107.58 36.95
Element x y z (fractional)
1 Pr 0.165 0.165 0.000
2 Pr 0.279 0.279 0.667
3 Pr 0.721 0.721 0.333
4 Pr 0.835 0.835 0.000
5 Nd 0.055 0.055 0.333
6 Nd 0.390 0.390 0.332
7 Nd 0.610 0.610 0.668
8 Nd 0.945 0.945 0.667
9 Dy 0.500 0.500 0.000

Output
Electronic total energy = -42.7 eV/cell
Formation enthalpy at 0 K = 0.01 eV per atom
Symmetry = C2/m



No. 2
Material: Nd3Dy2Tm4
Method: DFT, GGA-PBE
State: relaxed

a b c (Å): 10.129 10.129 6.025
angles (deg): 96.30 96.30 70.09
Element x y z (fractional)
1 Nd 0.108 0.892 0.750
2 Nd 0.228 0.440 0.914
3 Nd 0.440 0.228 0.414
4 Nd 0.560 0.772 0.586
5 Nd 0.772 0.560 0.086
6 Nd 0.892 0.108 0.250
7 Dy 0.013 0.751 0.188
8 Dy 0.249 0.987 0.312
9 Dy 0.751 0.013 0.688
10 Dy 0.987 0.249 0.812
11 Tm 0.085 0.352 0.353
12 Tm 0.319 0.581 0.478
13 Tm 0.352 0.085 0.853
14 Tm 0.419 0.681 0.022
15 Tm 0.581 0.319 0.978
16 Tm 0.648 0.915 0.147
17 Tm 0.681 0.419 0.522
18 Tm 0.915 0.648 0.647

Output
Electronic total energy = -80.9 eV/cell
Formation enthalpy at 0 K = 0.10 eV per atom
Symmetry = C2/c
Excess energy over the best structure of this formula in the dataset = 14 meV per atom



No. 3
Material: Li2CoSe
Method: DFT, GGA-PBE
State: relaxed

a b c (Å): 3.727 3.727 3.833
angles (deg): 90.00 90.00 90.00
Element x y z (fractional)
1 Li 0.000 0.500 0.000
2 Li 0.500 0.000 0.000
3 Co 0.000 0.000 0.500
4 Se 0.500 0.500 0.500

Output
Electronic total energy = -15.7 eV/cell
Formation energy without anion corrections = -1.3 eV per formula unit
Symmetry = P4/mmm